No. 1
A relaxed HfNbCuTe2 crystal, computed with PBE-GGA.

Unit cell a=5.3106 b=5.3106 c=5.1730 alpha=90.00 beta=90.00 gamma=90.00
Last column: nearest neighbours and their distance in Å.
Space group P4/mmm (No. 123)
Asymmetric unit:
1 Hf 0.0000 0.0000 0.0000 (multiplicity 1)  2 Nb 2.59
2 Nb 0.0000 0.0000 0.5000 (multiplicity 1)  2 Hf 2.59, 4 Te 2.66
3 Cu 0.5000 0.5000 0.0000 (multiplicity 1)  8 Te 3.71, 4 Hf 3.76
4 Te 0.0000 0.5000 0.5000 (multiplicity 2)  2 Nb 2.66

Properties
- Total magnetic moment: 0.0 μB per cell
- D(E_F): 3.2 states/eV per cell
- E_form (uncorrected): 820 meV per atom
- Crystal system: tetragonal

No. 2
A relaxed Tb7Bi2Sb2 crystal, computed with PBE-GGA.

Unit cell a=9.4183 b=11.0263 c=6.9743 alpha=90.00 beta=90.00 gamma=90.00
Last column: nearest neighbours and their distance in Å.
Space group Cmmm (No. 65)
Asymmetric unit:
1 Tb 0.0000 0.0000 0.0000 (multiplicity 2)  2 Sb 3.04
2 Tb 0.0000 0.5000 0.2582 (multiplicity 4)  2 Sb 3.06, 2 Bi 3.33, 1 Tb 3.37
3 Tb 0.2500 0.2500 0.2647 (multiplicity 8)  2 Sb 3.01, 2 Bi 3.25, 1 Tb 3.28
4 Bi 0.1945 0.0000 0.5000 (multiplicity 4)  6 Tb 3.25-3.33
5 Sb 0.0000 0.2758 0.0000 (multiplicity 4)  7 Tb 3.01-3.06

Properties
- Total magnetic moment: 0.0 μB per cell
- D(E_F): 25.5 states/eV per cell
- E_form (uncorrected): -428 meV per atom
- Crystal system: orthorhombic

No. 3
A relaxed CuTc2Se crystal, computed with PBE-GGA.

Unit cell a=2.9725 b=4.6228 c=8.9650 alpha=90.00 beta=90.00 gamma=90.00
Last column: nearest neighbours and their distance in Å.
Space group Cmm2 (No. 35)
Asymmetric unit:
1 Cu 0.0000 0.0000 0.0000 (multiplicity 2)  2 Tc 2.64, 4 Cu 2.75, 2 Se 2.81
2 Tc 0.0000 0.0000 0.5218 (multiplicity 2)  6 Tc 2.58-2.75, 2 Se 2.74
3 Tc 0.0000 0.5000 0.7569 (multiplicity 2)  6 Tc 2.58-2.75, 2 Cu 2.64
4 Se 0.0000 0.5000 0.2656 (multiplicity 2)  2 Tc 2.74, 6 Se 2.75-2.97, 2 Cu 2.81

Properties
- Total magnetic moment: 0.0 μB per cell
- D(E_F): 7.4 states/eV per cell
- E_form (uncorrected): 440 meV per atom
- Crystal system: orthorhombic

No. 4
A relaxed Te4Rh crystal, computed with PBE-GGA.

Unit cell a=12.1759 b=7.0158 c=7.7520 alpha=90.00 beta=120.71 gamma=90.00
Last column: nearest neighbours and their distance in Å.
Space group C2/c (No. 15)
Asymmetric unit:
1 Te 0.1024 0.0550 0.4540 (multiplicity 8)  1 Rh 2.72, 2 Te 2.86-3.02
2 Te 0.1441 0.4055 0.0771 (multiplicity 8)  2 Rh 2.67-2.70
3 Rh 0.0000 0.3842 0.2500 (multiplicity 4)  6 Te 2.67-2.72

Properties
- Total magnetic moment: 0.0 μB per cell
- D(E_F): 11.7 states/eV per cell
- Energy above the lowest structure with this stoichiometry: 0 meV per atom
- E_form (uncorrected): -86 meV per atom
- Crystal system: monoclinic

No. 5
A relaxed Zn2W crystal, computed with PBE-GGA.

Unit cell a=3.9413 b=3.9413 c=22.8874 alpha=90.00 beta=90.00 gamma=90.00
Last column: nearest neighbours and their distance in Å.
Space group I4_1/amd (No. 141, origin choice 2)
Asymmetric unit:
1 Zn 0.0000 0.2500 0.1233 (multiplicity 8)  8 Zn 2.70-2.79, 4 W 2.74-2.79
2 Zn 0.0000 0.2500 0.7929 (multiplicity 8)  6 Zn 2.70-2.78, 6 W 2.74-2.79
3 W 0.0000 0.2500 0.2901 (multiplicity 8)  2 W 2.69, 10 Zn 2.74-2.79

Properties
- Total magnetic moment: 0.0 μB per cell
- D(E_F): 11.4 states/eV per cell
- DFT formation energy: 0.239 eV/atom
- Energy above the lowest structure with this stoichiometry: 93 meV per atom
- Crystal system: tetragonal

No. 6
A relaxed Ac2YIr2I2 crystal, computed with PBE-GGA.

Unit cell a=5.2371 b=5.2371 c=17.4233 alpha=90.00 beta=90.00 gamma=90.00
Last column: nearest neighbours and their distance in Å.
Space group I4/mmm (No. 139)
Asymmetric unit:
1 Ac 0.0000 0.0000 0.1052 (multiplicity 4)  4 Ir 3.20, 1 I 3.57
2 Y 0.0000 0.0000 0.5000 (multiplicity 2)  4 Ir 2.62
3 Ir 0.0000 0.5000 0.0000 (multiplicity 4)  2 Y 2.62
4 I 0.0000 0.0000 0.3103 (multiplicity 4)  1 Y 3.31, 1 Ac 3.57

Properties
- Total magnetic moment: 0.0 μB per cell
- D(E_F): 7.7 states/eV per cell
- E_form (uncorrected): -780 meV per atom
- Crystal system: tetragonal

No. 7
A relaxed ReAu2Br crystal, computed with PBE-GGA.

Unit cell a=2.8108 b=2.8108 c=10.7297 alpha=90.00 beta=90.00 gamma=90.00
Last column: nearest neighbours and their distance in Å.
Space group P4/mmm (No. 123)
Asymmetric unit:
1 Re 0.0000 0.0000 0.0000 (multiplicity 1)  4 Re 2.81, 8 Au 2.84
2 Au 0.5000 0.5000 0.1884 (multiplicity 2)  4 Au 2.81, 4 Re 2.84
3 Br 0.0000 0.0000 0.5000 (multiplicity 1)  4 Br 2.81

Properties
- Total magnetic moment: 0.0 μB per cell
- D(E_F): 4.2 states/eV per cell
- Energy above the lowest structure with this stoichiometry: 150 meV per atom
- E_form (uncorrected): 657 meV per atom
- Crystal system: tetragonal

No. 8
A relaxed Sm2BeRu2 crystal, computed with PBE-GGA.

Unit cell a=3.4702 b=6.3282 c=8.7230 alpha=90.00 beta=90.00 gamma=90.00
Last column: nearest neighbours and their distance in Å.
Space group Immm (No. 71)
Asymmetric unit:
1 Sm 0.0000 0.0000 0.2031 (multiplicity 4)  6 Ru 2.97-3.01, 2 Be 3.12
2 Be 0.0000 0.5000 0.0000 (multiplicity 2)  4 Ru 2.31
3 Ru 0.0000 0.2421 0.5000 (multiplicity 4)  2 Be 2.31

Properties
- Total magnetic moment: 0.0 μB per cell
- D(E_F): 3.8 states/eV per cell
- DFT formation energy: -0.274 eV/atom
- Energy above the lowest structure with this stoichiometry: 0 meV per atom
- Crystal system: orthorhombic